Here is crystalline Hg2TeS at its relaxed geometry from Alexandria via LeMat-Bulk. Energies are from GGA-PBE.

Summary:
* energy relative to the lowest polymorph listed for this composition: 389 meV per atom
* formation energy (no corrections): 0.254 eV per atom
* V: 33.86 A^3/atom

Cell and atoms, written as extended XYZ:
```
4
Lattice="2.204 1.272 8.049 -2.204 1.272 8.049 0.000 -2.545 8.049" Properties=species:S:1:pos:R:3 pbc="T T T"
Hg 0.000 0.000 2.401
Hg 0.000 0.000 21.746
Te 0.000 0.000 12.074
S 0.000 0.000 0.000
```